# 1
Here is a relaxed Cu4Se crystal from the Alexandria database. Energies are from GGA-PBE. Values from VASP.

Values from the calculation:
DOS(E_F): 0.584 states/eV per atom
energy relative to the elements, uncorrected: 0.67 eV/atom
crystal system: cubic

Geometry as Quantum ESPRESSO input:
```
&SYSTEM
  ibrav = 0, nat = 5, ntyp = 2
/
ATOMIC_SPECIES
Cu 63.55 Cu.upf
Se 78.96 Se.upf
ATOMIC_POSITIONS angstrom
Cu 0.000 0.000 0.000
Cu 0.144 -3.199 0.197
Cu 2.833 -1.458 0.383
Cu 0.717 -1.404 2.795
Se 1.847 -3.031 1.688
CELL_PARAMETERS angstrom
-1.971 -3.146 2.609
2.260 -3.253 -2.214
3.405 0.338 2.980
```

***

# 2
Here is a relaxed Pm5Sm3Ho3 crystal from the Alexandria database. Energies are from GGA-PBE. Values from VASP.

Values from the calculation:
DOS(E_F): 1.568 states/eV per atom
energy relative to the lowest polymorph listed for this composition: 0 meV per atom
crystal system: hexagonal
formation energy from the elements: 323 meV per atom

Geometry as Quantum ESPRESSO input:
```
&SYSTEM
  ibrav = 0, nat = 11, ntyp = 3
/
ATOMIC_SPECIES
Pm 145.00 Pm.upf
Ho 164.93 Ho.upf
Sm 150.36 Sm.upf
ATOMIC_POSITIONS angstrom
Pm -3.077 -5.238 2.954
Pm -2.329 -1.076 -3.321
Pm -3.721 -6.709 -0.427
Pm -2.045 -1.653 3.271
Pm -3.357 -4.669 -3.545
Ho -2.616 -4.808 7.966
Ho -2.156 -1.258 -0.017
Ho -3.322 -3.372 -8.427
Sm -1.179 -2.724 -6.057
Sm -1.256 -4.376 -0.329
Sm -0.678 -3.743 5.571
CELL_PARAMETERS angstrom
-3.321 0.937 0.225
-1.976 -4.568 -10.157
-1.137 -6.275 9.341
```

***

# 3
Here is a relaxed AcCd4Hg6 crystal from the Alexandria database. Energies are from GGA-PBE. Values from VASP.

Values from the calculation:
DOS(E_F): 0.457 states/eV per atom
energy relative to the lowest polymorph listed for this composition: 56 meV per atom
crystal system: tetragonal
formation energy from the elements: -57 meV per atom

Geometry as Quantum ESPRESSO input:
```
&SYSTEM
  ibrav = 0, nat = 11, ntyp = 3
/
ATOMIC_SPECIES
Cd 112.41 Cd.upf
Hg 200.59 Hg.upf
Ac 227.00 Ac.upf
ATOMIC_POSITIONS angstrom
Cd -1.666 -0.090 -1.210
Cd -4.396 -1.444 3.342
Cd -0.863 -5.509 -1.219
Cd -6.162 1.747 -6.330
Hg -2.237 -0.688 1.717
Hg -0.401 -2.800 -0.652
Hg -6.392 -0.427 -4.571
Hg -4.056 -1.381 -1.911
Hg -3.097 2.276 -0.215
Hg -0.372 -0.859 -3.734
Ac -3.469 1.418 -3.949
CELL_PARAMETERS angstrom
-6.194 4.553 -0.431
-0.743 -1.718 -7.468
0.394 -5.483 5.191
```

***

# 4
Here is a relaxed Ac6CoSn3 crystal from the Alexandria database. Energies are from GGA-PBE. Values from VASP.

Values from the calculation:
DOS(E_F): 1.014 states/eV per atom
crystal system: trigonal
formation energy from the elements: -333 meV per atom

Geometry as Quantum ESPRESSO input:
```
&SYSTEM
  ibrav = 0, nat = 20, ntyp = 3
/
ATOMIC_SPECIES
Ac 227.00 Ac.upf
Co 58.93 Co.upf
Sn 118.71 Sn.upf
ATOMIC_POSITIONS angstrom
Ac -7.578 -0.659 5.158
Ac -3.588 -3.701 -2.924
Ac -9.881 1.775 -1.002
Ac -5.320 -6.572 -1.101
Ac -3.838 -4.246 1.537
Ac -6.287 -0.169 -6.701
Ac -7.348 -3.061 -3.057
Ac -7.598 -3.606 1.405
Ac -3.607 -6.649 -6.677
Ac -4.898 -7.139 5.182
Ac -5.866 -0.735 -0.419
Ac -1.304 -9.083 -0.517
Co -5.593 -3.654 -0.760
Co 0.000 0.000 0.000
Sn -9.318 -1.525 -0.727
Sn -5.229 -1.397 2.872
Sn -6.342 -6.686 2.182
Sn -4.843 -0.621 -3.701
Sn -5.956 -5.910 -4.391
Sn -1.867 -5.782 -0.792
CELL_PARAMETERS angstrom
-4.001 -0.362 -8.476
0.361 -9.187 1.856
-7.546 2.242 5.101
```

***

# 5
Here is a relaxed NdHo8 crystal from the Alexandria database. Energies are from GGA-PBE. Values from VASP.

Values from the calculation:
DOS(E_F): 1.434 states/eV per atom
crystal system: tetragonal
formation energy from the elements: 21 meV per atom

Geometry as Quantum ESPRESSO input:
```
&SYSTEM
  ibrav = 0, nat = 9, ntyp = 2
/
ATOMIC_SPECIES
Nd 144.24 Nd.upf
Ho 164.93 Ho.upf
ATOMIC_POSITIONS angstrom
Nd 0.000 0.000 0.000
Ho -2.877 -1.038 1.800
Ho -3.041 -4.306 3.133
Ho -2.190 -2.406 -1.418
Ho -5.233 -6.686 1.725
Ho -5.066 -3.435 0.378
Ho -5.747 -2.059 3.561
Ho -2.361 -5.659 -0.049
Ho -4.384 -4.773 -2.821
CELL_PARAMETERS angstrom
-4.898 -0.155 -0.981
-1.675 -7.024 -3.258
-3.727 -2.942 6.342
```

***

# 6
Here is a relaxed Ni2Ir2Au crystal from the Alexandria database. Energies are from GGA-PBE. Values from VASP.

Values from the calculation:
DOS(E_F): 0.873 states/eV per atom
energy relative to the lowest polymorph listed for this composition: 0 meV per atom
crystal system: tetragonal
formation energy from the elements: 268 meV per atom

Geometry as Quantum ESPRESSO input:
```
&SYSTEM
  ibrav = 0, nat = 10, ntyp = 3
/
ATOMIC_SPECIES
Ni 58.69 Ni.upf
Ir 192.22 Ir.upf
Au 196.97 Au.upf
ATOMIC_POSITIONS angstrom
Ni 2.403 1.242 1.351
Ni 6.048 2.403 1.351
Ni 4.888 6.048 1.351
Ni 1.242 4.888 1.351
Ir 0.924 2.721 0.000
Ir 2.721 6.367 0.000
Ir 6.367 4.569 0.000
Ir 4.569 0.924 0.000
Au 3.645 3.645 0.000
Au 0.000 0.000 0.000
CELL_PARAMETERS angstrom
7.291 0.000 0.000
0.000 7.291 0.000
0.000 0.000 2.701
```

***

no.,total energy (eV/atom),total magnetization (μB/f.u.),volume (A^3/atom)
1,-3.301,0.00,18.69
2,-4.372,0.00,34.83
3,-0.928,0.00,28.27
4,-4.709,0.00,39.53
5,-4.578,0.00,31.38
6,-6.244,0.00,14.36